PBE Li2Mg8Ag, optimized geometry; formation energy = -66 meV/atom; mass density = 2.3 Mg/m³; space group = C2/m; crystal system = monoclinic
1.0
7.1611 -2.4289 0.0000
7.1611 2.4289 0.0000
-3.6479 0.0000 6.5394
Li Mg Ag
2 8 1
Direct
0.2255 0.2255 0.1378
0.7745 0.7745 0.8622
0.0491 0.0491 0.2250
0.1361 0.1361 0.6857
0.3217 0.3217 0.5783
0.4032 0.4032 0.0503
0.5968 0.5968 0.9497
0.6783 0.6783 0.4217
0.8639 0.8639 0.3143
0.9509 0.9509 0.7750
0.5000 0.5000 0.5000